Compound: TaTi2AuN
Source: the Alexandria database
Functional: GGA-PBE
Structure: optimized geometry

a = 4.1639 Å, b = 4.1639 Å, c = 4.2134 Å
α = 90.00°, β = 90.00°, γ = 90.00°
Space group P4/mmm (No. 123)
Inequivalent atoms, fractional coordinates:
Ta1 0.0000 0.0000 0.0000 [1 per cell]
Ti1 0.0000 0.5000 0.5000 [2 per cell]
Au1 0.5000 0.5000 0.0000 [1 per cell]
N1 0.0000 0.0000 0.5000 [1 per cell]

Values from the calculation:
The value obtained for the formation energy (no corrections) is -836 meV per atom. As for the density of states at the Fermi level: 5.0 states/eV per cell.